Computed, not measured: crystalline Na3NiRh2O6 at its relaxed geometry at the GGA+U level of DFT.

Results
Electronic total energy, eV for the cell shown: -65.2
Space-group type: C2/m
Calculated volume, Å³/cell: 133
ρ, g/cm³: 5.4

POSCAR file:
```
Na3NiRh2O6
1.0
-2.9939 -1.0423 -4.3581
4.3586 -2.9903 1.0504
-3.4154 -1.9763 3.9313
Ni Na O Rh
1 3 6 2
Cartesian
0.0000 0.0000 0.0000
1.4386 -3.6572 2.1242
-1.0253 -3.0044 0.3118
-3.4893 -2.3517 -1.5006
0.3024 -3.3350 -1.6123
-0.4355 -4.9850 1.5348
-2.9357 -4.3226 -0.3043
0.8850 -1.6863 0.9278
-1.6152 -1.0239 -0.9113
-2.3531 -2.6739 2.2359
1.9080 -2.3410 -0.7523
-0.5433 -1.6915 -2.5554
```